(1)
# Tb4DyTl

A relaxed structure of Tb4DyTl (PBE, the Alexandria database).

As for the energy of formation: -105 meV/atom. As for the energy above the lowest structure with this stoichiometry: 0 meV per atom. As for the size of the total moment: 0.000 μB/cell.

It has space group P4/mmm (No. 123), with a = 3.5916 Å, b = 3.5916 Å, c = 14.3025 Å, α = 90.00°, β = 90.00° and γ = 90.00°. The inequivalent atoms are Tb at (0.0000, 0.0000, 0.1496), Tb at (0.5000, 0.5000, 0.3250), Dy at (0.0000, 0.0000, 0.5000) and Tl at (0.5000, 0.5000, 0.0000).


(2)
# Tb2DyTl3

A relaxed structure of Tb2DyTl3 (PBE, the Alexandria database).

As for the energy of formation: -352 meV/atom. As for the size of the total moment: 0.000 μB/cell.

It has space group P4/mmm (No. 123), with a = 3.7681 Å, b = 3.7681 Å, c = 11.6178 Å, α = 90.00°, β = 90.00° and γ = 90.00°. The inequivalent atoms are Tb at (0.0000, 0.0000, 0.1673), Dy at (0.0000, 0.0000, 0.5000), Tl at (0.5000, 0.5000, 0.0000) and Tl at (0.5000, 0.5000, 0.3347).


(3)
# Tb3Dy4Tl

A relaxed structure of Tb3Dy4Tl (PBE, the Alexandria database).

As for the energy of formation: -71 meV/atom. As for the energy above the lowest structure with this stoichiometry: 0 meV per atom. As for the size of the total moment: 0.000 μB/cell.

It has space group Pmn2_1 (No. 31), with a = 11.1958 Å, b = 7.0411 Å, c = 6.1806 Å, α = 90.00°, β = 90.00° and γ = 90.00°. The inequivalent atoms are Tb at (0.0000, 0.1303, 0.0000), Tb at (0.2409, 0.1159, 0.3396), Dy at (0.0000, 0.3742, 0.5341), Dy at (0.0000, 0.6302, 0.0048), Dy at (0.2380, 0.6261, 0.3581) and Tl at (0.0000, 0.8751, 0.5180).


Density of states at the Fermi level list, top to bottom, in states/eV per atom: 1.272, 0.749, 1.199